(1)
A relaxed structure of Cd6Cu7, computed with PBEsol.

abc: 9.4347 9.4347 9.4347
angles: 30.89 30.89 30.89
Positions (direct):
Cd 0.0511 0.0511 0.0511
Cd 0.1547 0.1547 0.1547
Cd 0.3332 0.3332 0.3332
Cd 0.6668 0.6668 0.6668
Cd 0.8453 0.8453 0.8453
Cd 0.9489 0.9489 0.9489
Cu 0.0909 0.5914 0.5914
Cu 0.4086 0.4086 0.9091
Cu 0.4086 0.9091 0.4086
Cu 0.5000 0.5000 0.5000
Cu 0.5914 0.0909 0.5914
Cu 0.5914 0.5914 0.0909
Cu 0.9091 0.4086 0.4086

(2)
A relaxed structure of H5PbCI3N2, computed with PBEsol.

abc: 6.3645 6.4038 6.2478
angles: 90.00 90.00 90.00
Positions (direct):
H 0.0000 0.0000 0.0000
H 0.0000 0.2028 0.5668
H 0.0000 0.3118 0.8249
H 0.0000 0.6882 0.8249
H 0.0000 0.7972 0.5668
Pb 0.5000 0.5000 0.2306
C 0.0000 0.0000 0.8243
I 0.0000 0.5000 0.2175
I 0.5000 0.0000 0.2415
I 0.5000 0.5000 0.7301
N 0.0000 0.1820 0.7293
N 0.0000 0.8180 0.7293

(3)
A relaxed structure of MnAsSCl2, computed with PBEsol.

abc: 4.8988 4.8988 4.8482
angles: 90.00 90.00 90.00
Positions (direct):
Mn 0.0000 0.0000 0.0000
As 0.5000 0.5000 0.5000
S 0.5000 0.5000 0.0000
Cl 0.0000 0.5000 0.5000
Cl 0.5000 0.0000 0.5000

(4)
A relaxed structure of Cd2ReSb, computed with PBEsol.

abc: 4.0010 4.0010 4.7400
angles: 90.00 90.00 90.00
Positions (direct):
Cd 0.0000 0.5000 0.0000
Cd 0.5000 0.0000 0.0000
Re 0.0000 0.0000 0.5000
Sb 0.5000 0.5000 0.5000

Record-wise final energy values, in eV/atom: -2.874 -4.762 -4.386 -4.373
Record-wise ρ values, in g/cm³: 9.5 4.1 3.3 11.7
Record-wise N(E_F) values, in states/eV/atom: 0.35 0.00 0.56 0.94